<a>
DFT (PBE-GGA) results for a relaxed structure of BaScPCl2.

Lattice parameters (Å, degrees): 5.641 5.641 6.110 90.00 90.00 90.00
Space group P4/mmm (No. 123)
Symmetry-distinct sites (fractional):
1 Ba 0.000 0.000 0.000 [1 per cell]
2 Sc 0.500 0.500 0.500 [1 per cell]
3 P 0.000 0.000 0.500 [1 per cell]
4 Cl 0.000 0.500 0.000 [2 per cell]

<b>
DFT (PBE-GGA) results for a relaxed structure of BaScPCl2.

Lattice parameters (Å, degrees): 5.053 5.053 5.184 90.00 90.00 90.00
Space group P4/mmm (No. 123)
Symmetry-distinct sites (fractional):
1 Ba 0.000 0.000 0.000 [1 per cell]
2 Sc 0.500 0.500 0.500 [1 per cell]
3 P 0.500 0.500 0.000 [1 per cell]
4 Cl 0.000 0.500 0.500 [2 per cell]

Winner for stability: <b>